Below is an optimized crystal structure of KRb2WF6, with properties calculated at the GGA+U level.

Properties
Offset from the most stable computed form (eV per atom): 0.044

Unit cell a=6.728 b=6.728 c=11.511 alpha=73.01 beta=73.01 gamma=60.00
Positions (direct):
F (0.820, 0.234, 0.126)
F (0.180, 0.766, 0.874)
F (0.820, 0.820, 0.126)
W (0.000, 0.000, 0.000)
F (0.159, 0.616, 0.608)
F (0.180, 0.180, 0.874)
F (0.766, 0.180, 0.874)
Rb (0.874, 0.874, 0.377)
F (0.384, 0.841, 0.392)
F (0.234, 0.820, 0.126)
Rb (0.737, 0.737, 0.788)
Rb (0.263, 0.263, 0.212)
F (0.616, 0.616, 0.608)
W (0.500, 0.500, 0.500)
F (0.841, 0.384, 0.392)
K (0.400, 0.400, 0.799)
F (0.616, 0.159, 0.608)
K (0.600, 0.600, 0.201)
Rb (0.126, 0.126, 0.623)
F (0.384, 0.384, 0.392)